1.
Material: Te2PbNO
Method: DFT, PBE
State: optimized geometry

Computed properties:
Spin magnetization: 2.61 μB/cell
Energy above the lowest structure with this stoichiometry: 0 kJ/mol of formula units
Energy relative to the elements, uncorrected: 0.83 eV/atom
Space group: P4/mmm
Final energy: -3.83 eV per atom

Lattice parameters (Å, degrees): 4.5725 4.5725 5.3700 90.00 90.00 90.00
Element x y z (fractional)
Te 0.0000 0.5000 0.0000
Te 0.5000 0.0000 0.0000
Pb 0.0000 0.0000 0.5000
N 0.5000 0.5000 0.5000
O 0.5000 0.5000 0.0000

=====

2.
Material: NbBiF2
Method: DFT, PBE
State: optimized geometry

Computed properties:
Spin magnetization: 0.00 μB/cell
Energy above the lowest structure with this stoichiometry: 0 kJ/mol of formula units
Energy relative to the elements, uncorrected: -1.34 eV/atom
Space group: R-3m
Final energy: -5.77 eV per atom

Lattice parameters (Å, degrees): 10.5479 10.5479 10.5479 16.55 16.55 16.55
Element x y z (fractional)
Nb 0.0000 0.0000 0.0000
Bi 0.5000 0.5000 0.5000
F 0.3805 0.3805 0.3805
F 0.6195 0.6195 0.6195

=====

- Number 1 is which compound?
  Te2PbNO

=====

- Look up the spin magnetization of the first one.
  2.61 μB/cell

=====

Please write out number 1 again, unchanged.
Material: Te2PbNO
Method: DFT, PBE
State: optimized geometry

Computed properties:
Spin magnetization: 2.61 μB/cell
Energy above the lowest structure with this stoichiometry: 0 kJ/mol of formula units
Energy relative to the elements, uncorrected: 0.83 eV/atom
Space group: P4/mmm
Final energy: -3.83 eV per atom

Lattice parameters (Å, degrees): 4.5725 4.5725 5.3700 90.00 90.00 90.00
Element x y z (fractional)
Te 0.0000 0.5000 0.0000
Te 0.5000 0.0000 0.0000
Pb 0.0000 0.0000 0.5000
N 0.5000 0.5000 0.5000
O 0.5000 0.5000 0.0000